(1)
# Dy2ErHg, optimized geometry, DFT PBE
data_Dy2ErHg
_space_group_name_H-M_alt 'A m m 2'
_space_group_IT_number 38
_cell_length_a 5.413
_cell_length_b 7.247
_cell_length_c 11.264
_cell_angle_alpha 90.00
_cell_angle_beta 90.00
_cell_angle_gamma 90.00
loop_
_space_group_symop_operation_xyz
'x,y,z'
'-x,-y,z'
'-x,y,z'
'x,-y,z'
'x,y+1/2,z+1/2'
'-x,-y+1/2,z+1/2'
'-x,y+1/2,z+1/2'
'x,-y+1/2,z+1/2'
loop_
_atom_site_label
_atom_site_fract_x
_atom_site_fract_y
_atom_site_fract_z
Dy1 0.000 0.000 0.000
Dy2 0.000 0.248 0.243
Dy3 0.500 0.000 0.307
Er1 0.000 0.000 0.500
Er2 0.500 0.000 0.805
Hg1 0.500 0.247 0.563
# Distance to the lowest polymorph of the same formula in meV per atom: 99
# DFT formation energy in meV per atom: -100


(2)
# SmErPO, optimized geometry, DFT PBE
data_SmErPO
_space_group_name_H-M_alt 'P m c 21'
_space_group_IT_number 26
_cell_length_a 4.156
_cell_length_b 7.587
_cell_length_c 5.486
_cell_angle_alpha 90.00
_cell_angle_beta 90.00
_cell_angle_gamma 90.00
loop_
_space_group_symop_operation_xyz
'x,y,z'
'-x,-y,z+1/2'
'-x,y,z'
'x,-y,z+1/2'
loop_
_atom_site_label
_atom_site_fract_x
_atom_site_fract_y
_atom_site_fract_z
Sm1 0.000 0.132 0.000
Er1 0.500 0.293 0.476
P1 0.500 0.353 0.975
O1 0.000 0.178 0.451
# Distance to the lowest polymorph of the same formula in meV per atom: 38


(3)
# KCoTeAuS2, optimized geometry, DFT PBE
data_KCoTeAuS2
_space_group_name_H-M_alt 'C m c m'
_space_group_IT_number 63
_space_group_name_Hall '-C 2c 2'
_cell_length_a 3.439
_cell_length_b 16.799
_cell_length_c 10.065
_cell_angle_alpha 90.00
_cell_angle_beta 90.00
_cell_angle_gamma 90.00
loop_
_atom_site_label
_atom_site_fract_x
_atom_site_fract_y
_atom_site_fract_z
K1 0.000 0.234 0.250
Co1 0.000 0.500 0.000
Te1 0.000 0.445 0.750
Au1 0.000 0.103 0.750
S1 0.000 0.091 0.518
# Calculated total energy in eV/atom: -4.139


(4)
# LuAgOs, optimized geometry, DFT PBE
data_LuAgOs
_space_group_name_H-M_alt 'F -4 3 m'
_space_group_IT_number 216
_space_group_name_Hall 'F -4 2 3'
_cell_length_a 6.423
_cell_length_b 6.423
_cell_length_c 6.423
_cell_angle_alpha 90.00
_cell_angle_beta 90.00
_cell_angle_gamma 90.00
loop_
_atom_site_label
_atom_site_fract_x
_atom_site_fract_y
_atom_site_fract_z
Lu1 0.000 0.000 0.000
Ag1 0.250 0.250 0.750
Os1 0.250 0.250 0.250
# Distance to the lowest polymorph of the same formula in meV per atom: 287
# DFT formation energy in meV per atom: 864